Here is a geometry-optimized CsNdP4O12 structure from the Alexandria database. Energies are from GGA-PBEsol.

DOS at the Fermi energy   0.00 states/eV/f.u.
E_form (uncorrected)   -2480 meV per atom

Geometry as extended XYZ:
```
72
Lattice="10.489 0.000 0.000 0.000 9.068 0.000 -7.308 0.000 10.761" Properties=species:S:1:pos:R:3 pbc="T T T"
Cs 2.103 0.592 0.439
Cs -1.551 3.942 5.819
Cs 4.732 5.125 4.942
Cs 1.078 8.476 10.322
Nd -2.659 6.586 8.794
Nd 0.995 7.015 3.414
Nd 2.187 2.053 7.347
Nd 5.841 2.481 1.967
P -1.748 0.265 3.049
P -5.402 4.269 8.430
P 1.914 5.473 0.269
P -1.740 8.128 5.650
P 0.748 1.579 3.923
P -2.906 2.955 9.304
P -1.364 0.851 7.982
P 2.290 3.683 2.601
P 0.892 5.385 8.160
P 4.546 8.217 2.779
P 6.088 6.113 1.457
P 2.434 7.489 6.838
P 4.922 0.939 5.112
P 1.268 3.595 10.492
P 8.584 4.798 2.332
P 4.930 8.803 7.712
O -6.149 4.901 9.719
O -2.495 8.701 4.339
O -4.495 5.274 7.777
O -0.841 8.327 2.396
O -0.852 5.418 3.189
O -4.506 8.183 8.570
O -0.851 1.441 3.707
O -4.505 3.093 9.087
O 1.013 6.407 1.017
O -2.641 7.194 6.397
O -1.581 0.462 6.442
O 2.073 4.072 1.062
O -2.609 1.876 8.133
O 1.045 2.658 2.752
O -4.051 5.971 10.605
O -0.397 7.631 5.224
O 1.452 0.310 3.561
O -2.202 4.223 8.941
O 2.075 4.872 3.483
O -1.579 8.729 8.864
O 0.926 2.215 5.264
O -2.728 2.319 10.644
O -0.382 6.154 8.021
O 3.272 7.447 2.641
O -0.090 1.620 8.120
O 3.563 2.914 2.740
O 5.910 6.748 0.117
O 2.256 6.853 5.497
O 4.761 0.339 1.897
O 1.107 4.195 7.278
O 5.384 4.844 1.820
O 1.730 8.757 7.201
O 3.579 1.437 5.537
O 7.233 3.097 0.156
O 2.137 6.409 8.009
O 5.791 7.192 2.629
O 1.109 4.996 9.699
O 4.763 8.606 4.319
O 5.823 1.873 4.364
O 2.169 2.661 9.744
O 7.686 5.974 1.674
O 4.032 7.627 7.054
O 7.688 0.885 2.191
O 4.034 3.649 7.572
O 4.022 0.740 8.365
O 7.676 3.794 2.984
O 5.676 0.367 6.422
O 9.330 4.167 1.042
```

Here is a geometry-optimized CsNdP4O12 structure from the Alexandria database. Energies are from GGA-PBEsol.

DOS at the Fermi energy   0.00 states/eV/f.u.
E_form (uncorrected)   -2478 meV per atom

Geometry as extended XYZ:
```
36
Lattice="7.141 0.000 0.000 0.000 9.205 0.000 -1.448 0.000 8.697" Properties=species:S:1:pos:R:3 pbc="T T T"
Cs 0.966 0.000 1.528
Cs 4.728 4.603 7.170
Nd 1.133 1.520 6.070
Nd 4.561 6.123 2.627
P 0.237 4.946 4.722
P 1.041 5.465 1.968
P 2.875 3.610 0.601
P 2.241 7.132 5.439
P 3.452 2.530 3.258
P 2.818 8.212 8.096
P 4.653 0.862 6.730
P 5.457 0.343 3.976
O -1.098 1.281 7.101
O -0.389 1.020 4.281
O 0.213 3.683 5.513
O 1.436 4.294 0.937
O 1.043 4.652 3.361
O 1.130 5.984 5.554
O 2.134 6.488 2.025
O 1.629 8.469 5.177
O 1.248 2.941 7.990
O 2.333 2.024 4.104
O 1.702 9.192 7.903
O 2.936 2.452 1.721
O 2.757 7.054 6.977
O 3.992 4.590 0.794
O 3.360 6.627 4.593
O 4.445 7.543 0.707
O 4.065 3.866 3.520
O 3.560 1.885 6.672
O 4.563 1.382 3.143
O 4.651 0.049 5.336
O 4.258 8.896 7.760
O 5.481 8.286 3.184
O 6.082 5.623 4.416
O 6.791 5.883 1.596
```

Here is a geometry-optimized CsNdZnTe3 structure from the Alexandria database. Energies are from GGA-PBEsol.

E_form (uncorrected)   -1070 meV per atom

Geometry as extended XYZ:
```
12
Lattice="2.211 -8.378 0.000 2.211 8.378 0.000 0.000 0.000 11.787" Properties=species:S:1:pos:R:3 pbc="T T T"
Cs 2.211 4.267 8.841
Cs 2.211 -4.267 2.947
Nd 2.211 0.000 0.000
Nd 2.211 0.000 5.894
Zn 2.211 7.765 2.947
Zn 2.211 -7.765 8.841
Te 2.211 6.287 0.760
Te 2.211 6.287 5.133
Te 2.211 1.031 2.947
Te 2.211 -1.031 8.841
Te 2.211 -6.287 6.654
Te 2.211 -6.287 11.027
```

Here is a geometry-optimized Cs2NiO2 structure from the Alexandria database. Energies are from GGA-PBEsol.

E_form (uncorrected)   -1100 meV per atom

Geometry as extended XYZ:
```
10
Lattice="4.336 0.000 0.000 0.000 4.336 0.000 0.000 0.000 13.381" Properties=species:S:1:pos:R:3 pbc="T T T"
Cs 0.000 0.000 1.988
Cs 0.000 0.000 11.392
Cs 2.168 2.168 4.702
Cs 2.168 2.168 8.679
Ni 0.000 0.000 6.690
Ni 2.168 2.168 0.000
O 0.000 0.000 5.007
O 0.000 0.000 8.374
O 2.168 2.168 1.683
O 2.168 2.168 11.697
```

Here is a geometry-optimized CsNiO2 structure from the Alexandria database. Energies are from GGA-PBEsol.

DOS at the Fermi energy   1.57 states/eV/f.u.
E_form (uncorrected)   -468 meV per atom

Geometry as extended XYZ:
```
12
Lattice="3.197 0.000 0.000 -1.598 2.768 0.000 0.000 0.000 20.641" Properties=species:S:1:pos:R:3 pbc="T T T"
Cs 0.000 0.000 0.000
Cs 0.000 1.846 13.760
Cs 1.598 0.923 6.880
Ni 0.000 0.000 10.320
Ni 0.000 1.846 3.440
Ni 1.598 0.923 17.200
O 0.000 0.000 2.617
O 0.000 0.000 18.023
O 0.000 1.846 11.143
O 0.000 1.846 16.378
O 1.598 0.923 4.263
O 1.598 0.923 9.498
```

Here is a geometry-optimized Cs3NiOs structure from the Alexandria database. Energies are from GGA-PBEsol.

DOS at the Fermi energy   16.51 states/eV/f.u.
Formation enthalpy at 0 K   1603 meV/atom

Geometry as extended XYZ:
```
5
Lattice="5.819 0.000 0.000 0.000 5.819 0.000 0.000 0.000 5.819" Properties=species:S:1:pos:R:3 pbc="T T T"
Cs 0.000 0.000 2.910
Cs 0.000 2.910 0.000
Cs 2.910 0.000 0.000
Ni 2.910 2.910 2.910
Os 0.000 0.000 0.000
```

Here is a geometry-optimized Cs3NiPb structure from the Alexandria database. Energies are from GGA-PBEsol.

DOS at the Fermi energy   4.37 states/eV/f.u.
Formation enthalpy at 0 K   567 meV/atom

Geometry as extended XYZ:
```
5
Lattice="6.118 0.000 0.000 0.000 6.118 0.000 0.000 0.000 6.118" Properties=species:S:1:pos:R:3 pbc="T T T"
Cs 0.000 0.000 3.059
Cs 0.000 3.059 0.000
Cs 3.059 0.000 0.000
Ni 0.000 0.000 0.000
Pb 3.059 3.059 3.059
```

Here is a geometry-optimized Cs2NiPdPb structure from the Alexandria database. Energies are from GGA-PBEsol.

DOS at the Fermi energy   2.98 states/eV/f.u.
Formation enthalpy at 0 K   584 meV/atom

Geometry as extended XYZ:
```
5
Lattice="5.764 0.000 0.000 0.000 5.764 0.000 0.000 0.000 5.007" Properties=species:S:1:pos:R:3 pbc="T T T"
Cs 0.000 2.882 0.000
Cs 2.882 0.000 0.000
Ni 0.000 0.000 0.000
Pd 2.882 2.882 2.503
Pb 0.000 0.000 2.503
```

Here is a geometry-optimized CsNiPd3 structure from the Alexandria database. Energies are from GGA-PBEsol.

DOS at the Fermi energy   7.84 states/eV/f.u.
Formation enthalpy at 0 K   612 meV/atom

Geometry as extended XYZ:
```
5
Lattice="4.704 0.000 0.000 0.000 4.704 0.000 0.000 0.000 4.704" Properties=species:S:1:pos:R:3 pbc="T T T"
Cs 0.000 0.000 0.000
Ni 2.352 2.352 2.352
Pd 0.000 2.352 2.352
Pd 2.352 0.000 2.352
Pd 2.352 2.352 0.000
```

Here is a geometry-optimized CsNi3Pd structure from the Alexandria database. Energies are from GGA-PBEsol.

DOS at the Fermi energy   10.91 states/eV/f.u.
Formation enthalpy at 0 K   1118 meV/atom

Geometry as extended XYZ:
```
5
Lattice="4.686 0.000 0.000 0.000 4.686 0.000 0.000 0.000 4.686" Properties=species:S:1:pos:R:3 pbc="T T T"
Cs 0.000 0.000 0.000
Ni 0.000 2.343 2.343
Ni 2.343 0.000 2.343
Ni 2.343 2.343 0.000
Pd 2.343 2.343 2.343
```

Here is a geometry-optimized CsNiRh3 structure from the Alexandria database. Energies are from GGA-PBEsol.

DOS at the Fermi energy   12.88 states/eV/f.u.
Formation enthalpy at 0 K   2577 meV/atom

Geometry as extended XYZ:
```
5
Lattice="4.801 0.000 0.000 0.000 4.801 0.000 0.000 0.000 4.801" Properties=species:S:1:pos:R:3 pbc="T T T"
Cs 0.000 0.000 0.000
Ni 2.400 2.400 2.400
Rh 0.000 0.000 2.400
Rh 0.000 2.400 0.000
Rh 2.400 0.000 0.000
```

Here is a geometry-optimized CsNi3Rh structure from the Alexandria database. Energies are from GGA-PBEsol.

DOS at the Fermi energy   6.79 states/eV/f.u.
Formation enthalpy at 0 K   2383 meV/atom

Geometry as extended XYZ:
```
5
Lattice="4.549 0.000 0.000 0.000 4.549 0.000 0.000 0.000 4.549" Properties=species:S:1:pos:R:3 pbc="T T T"
Cs 0.000 0.000 0.000
Ni 0.000 0.000 2.275
Ni 0.000 2.275 0.000
Ni 2.275 0.000 0.000
Rh 2.275 2.275 2.275
```

Here is a geometry-optimized Cs2NiS structure from the Alexandria database. Energies are from GGA-PBEsol.

DOS at the Fermi energy   7.81 states/eV/f.u.
E_form (uncorrected)   323 meV per atom

Geometry as extended XYZ:
```
16
Lattice="8.037 0.000 0.000 0.000 8.037 0.000 0.000 0.000 8.037" Properties=species:S:1:pos:R:3 pbc="T T T"
Cs 2.009 2.009 2.009
Cs 2.009 2.009 6.028
Cs 2.009 6.028 2.009
Cs 2.009 6.028 6.028
Cs 6.028 2.009 2.009
Cs 6.028 2.009 6.028
Cs 6.028 6.028 2.009
Cs 6.028 6.028 6.028
Ni 0.000 0.000 0.000
Ni 0.000 4.019 4.019
Ni 4.019 0.000 4.019
Ni 4.019 4.019 0.000
S 0.000 0.000 4.019
S 0.000 4.019 0.000
S 4.019 0.000 0.000
S 4.019 4.019 4.019
```

Here is a geometry-optimized CsNi3S structure from the Alexandria database. Energies are from GGA-PBEsol.

DOS at the Fermi energy   6.90 states/eV/f.u.
E_form (uncorrected)   2123 meV per atom

Geometry as extended XYZ:
```
5
Lattice="4.672 0.000 0.000 0.000 4.672 0.000 0.000 0.000 4.672" Properties=species:S:1:pos:R:3 pbc="T T T"
Cs 0.000 0.000 0.000
Ni 0.000 0.000 2.336
Ni 0.000 2.336 0.000
Ni 2.336 0.000 0.000
S 2.336 2.336 2.336
```

Here is a geometry-optimized CsSc3Ni structure from the Alexandria database. Energies are from GGA-PBEsol.

DOS at the Fermi energy   8.40 states/eV/f.u.
Formation enthalpy at 0 K   295 meV/atom

Geometry as extended XYZ:
```
5
Lattice="5.076 0.000 0.000 0.000 5.076 0.000 0.000 0.000 5.076" Properties=species:S:1:pos:R:3 pbc="T T T"
Cs 0.000 0.000 0.000
Sc 0.000 2.538 2.538
Sc 2.538 0.000 2.538
Sc 2.538 2.538 0.000
Ni 2.538 2.538 2.538
```

Here is a geometry-optimized CsNiSe3 structure from the Alexandria database. Energies are from GGA-PBEsol.

DOS at the Fermi energy   5.06 states/eV/f.u.
E_form (uncorrected)   -206 meV per atom

Geometry as extended XYZ:
```
5
Lattice="4.870 0.000 0.000 0.000 4.870 0.000 0.000 0.000 4.870" Properties=species:S:1:pos:R:3 pbc="T T T"
Cs 0.000 0.000 0.000
Ni 2.435 2.435 2.435
Se 0.000 2.435 2.435
Se 2.435 0.000 2.435
Se 2.435 2.435 0.000
```

Here is a geometry-optimized Cs2Ni3Se4 structure from the Alexandria database. Energies are from GGA-PBEsol.

E_form (uncorrected)   -655 meV per atom

Geometry as extended XYZ:
```
9
Lattice="0.000 5.225 7.265 3.054 0.000 7.265 3.054 5.225 0.000" Properties=species:S:1:pos:R:3 pbc="T T T"
Cs 3.054 5.225 2.277
Cs 3.054 5.225 12.253
Ni 1.527 2.612 0.000
Ni 1.527 2.612 7.265
Ni 3.054 5.225 7.265
Se 3.054 3.477 5.761
Se 3.054 3.477 8.769
Se 3.054 6.973 5.761
Se 3.054 6.973 8.769
```

Here is a geometry-optimized CsSrNi3 structure from the Alexandria database. Energies are from GGA-PBEsol.

DOS at the Fermi energy   4.42 states/eV/f.u.
Formation enthalpy at 0 K   1476 meV/atom

Geometry as extended XYZ:
```
5
Lattice="4.889 0.000 0.000 0.000 4.889 0.000 0.000 0.000 4.889" Properties=species:S:1:pos:R:3 pbc="T T T"
Cs 0.000 0.000 0.000
Sr 2.445 2.445 2.445
Ni 0.000 0.000 2.445
Ni 0.000 2.445 0.000
Ni 2.445 0.000 0.000
```

Here is a geometry-optimized CsTaNi3 structure from the Alexandria database. Energies are from GGA-PBEsol.

DOS at the Fermi energy   6.42 states/eV/f.u.
Formation enthalpy at 0 K   2471 meV/atom

Geometry as extended XYZ:
```
5
Lattice="4.587 0.000 0.000 0.000 4.587 0.000 0.000 0.000 4.587" Properties=species:S:1:pos:R:3 pbc="T T T"
Cs 0.000 0.000 0.000
Ta 2.293 2.293 2.293
Ni 0.000 0.000 2.293
Ni 0.000 2.293 0.000
Ni 2.293 0.000 0.000
```

Here is a geometry-optimized CsTc2Ni structure from the Alexandria database. Energies are from GGA-PBEsol.

DOS at the Fermi energy   5.94 states/eV/f.u.
Formation enthalpy at 0 K   1775 meV/atom

Geometry as extended XYZ:
```
16
Lattice="6.321 0.000 0.000 0.000 6.321 0.000 0.000 0.000 6.321" Properties=species:S:1:pos:R:3 pbc="T T T"
Cs 0.000 0.000 0.000
Cs 0.000 3.160 3.160
Cs 3.160 0.000 3.160
Cs 3.160 3.160 0.000
Tc 1.580 1.580 1.580
Tc 1.580 1.580 4.741
Tc 1.580 4.741 1.580
Tc 1.580 4.741 4.741
Tc 4.741 1.580 1.580
Tc 4.741 1.580 4.741
Tc 4.741 4.741 1.580
Tc 4.741 4.741 4.741
Ni 0.000 0.000 3.160
Ni 0.000 3.160 0.000
Ni 3.160 0.000 0.000
Ni 3.160 3.160 3.160
```

| no. | uncorrected energy (hartree per atom) | calculated density (g cm⁻³) |
| --- | --- | --- |
| 1 | -0.280 | 3.85 |
| 2 | -0.279 | 3.44 |
| 3 | -0.151 | 5.52 |
| 4 | -0.177 | 4.71 |
| 5 | -0.179 | 6.10 |
| 6 | -0.097 | 5.46 |
| 7 | -0.075 | 4.82 |
| 8 | -0.111 | 6.37 |
| 9 | -0.161 | 8.15 |
| 10 | -0.145 | 6.70 |
| 11 | -0.137 | 7.51 |
| 12 | -0.115 | 7.26 |
| 13 | -0.102 | 4.56 |
| 14 | -0.097 | 5.55 |
| 15 | -0.187 | 4.15 |
| 16 | -0.145 | 6.16 |
| 17 | -0.170 | 5.43 |
| 18 | -0.102 | 5.63 |
| 19 | -0.144 | 8.43 |
| 20 | -0.207 | 10.19 |